[1]
Density functional theory data (PBE) for an optimized crystal structure of Sc2Tl3SnS6.

Values from the calculation:
Calculated density ... 5777 kg/m3
Space group ... C2/m
DOS at the Fermi energy ... 3.3 states/eV per cell
Energy relative to the elements, uncorrected ... -1027 meV/atom

Structure (POSCAR):
```
Sc2Tl3SnS6
1.0
6.721 -0.003 0.004
-3.361 5.820 0.004
-1.116 -1.933 7.451
S Sn Tl Sc
6 1 3 2
Direct
0.720 0.720 0.189
0.937 0.594 0.809
0.406 0.063 0.191
0.063 0.406 0.191
0.280 0.280 0.811
0.594 0.937 0.809
0.000 0.000 0.000
0.500 0.500 0.500
0.834 0.166 0.500
0.166 0.834 0.500
0.333 0.667 0.000
0.667 0.333 0.000
```

=====

[2]
Density functional theory data (PBE) for an optimized crystal structure of SiNi2Br.

Values from the calculation:
Calculated density ... 6237 kg/m3
Space group ... Pmmm
DOS at the Fermi energy ... 1.5 states/eV per cell
Energy relative to the elements, uncorrected ... -49 meV/atom

Structure (POSCAR):
```
SiNi2Br
1.0
-1.818 2.077 0.768
-1.893 -0.771 -2.393
-3.233 -4.285 3.935
Br Ni Si
1 2 1
Direct
0.500 0.750 0.750
0.000 0.750 0.070
0.000 0.750 0.430
0.500 0.250 0.250
```

=====

[3]
Density functional theory data (PBE) for an optimized crystal structure of Ca2LaOs2.

Values from the calculation:
Calculated density ... 7854 kg/m3
E_form ... 0.279 eV per atom
Space group ... P4/mbm
DOS at the Fermi energy ... 10.2 states/eV per cell

Structure (POSCAR):
```
Ca2LaOs2
1.0
7.204 0.000 0.000
0.000 7.204 0.000
0.000 0.000 4.885
La Ca Os
2 4 4
Direct
0.500 0.500 0.000
0.000 0.000 0.000
0.335 0.165 0.500
0.165 0.665 0.500
0.665 0.835 0.500
0.835 0.335 0.500
0.117 0.383 0.000
0.617 0.117 0.000
0.383 0.883 0.000
0.883 0.617 0.000
```